The following is a DFT calculation (GGA+U) of a geometry-optimized TaMn2NiO6 structure.

abc: 5.1740 5.1866 5.6334
angles: 62.77 62.69 59.95
Closest atoms and distances in Å follow each position.
Fractional positions:
1 O 0.1018 0.4039 0.7701  1 Mn 2.00, 1 Ta 2.03, 1 Ni 2.06
2 O 0.2023 0.9502 0.2439  1 Ta 1.98, 2 Mn 2.03-2.12, 1 Ni 2.19
3 Mn 0.0144 0.0089 0.9683  6 O 1.98-2.03
4 O 0.9502 0.6060 0.2401  1 Ta 1.98, 2 Mn 2.03-2.11, 1 Ni 2.19
5 O 0.4006 0.7244 0.7703  1 Mn 1.98, 1 Ta 2.05, 1 Ni 2.07
6 Ni 0.8114 0.8116 0.5641  6 O 2.06-2.19
7 O 0.6069 0.2036 0.2398  1 Ta 1.99, 2 Mn 2.03-2.11, 1 Ni 2.19
8 Ta 0.3219 0.3205 0.0324  6 O 1.98-2.05
9 Mn 0.5287 0.5260 0.4178  6 O 2.11-2.33
10 O 0.7233 0.1064 0.7685  1 Mn 2.02, 1 Ta 2.03, 1 Ni 2.07

Output
calculated density = 6.66 g cm⁻³
space group = P1 (1)
E = -77.28 eV/f.u.



The following is a DFT calculation (GGA+U) of a geometry-optimized TaMnNiO6 structure.

abc: 4.6479 4.6479 8.9988
angles: 90.00 90.00 90.00
Closest atoms and distances in Å follow each position.
Fractional positions:
1 O 0.2063 0.7937 0.8379  1 Mn 1.93, 1 Ta 1.98, 1 Ni 2.06
2 O 0.8067 0.1933 0.4939  1 Mn 1.93, 1 Ni 2.00, 1 Ta 2.02
3 O 0.6933 0.6933 0.9939  1 Mn 1.93, 1 Ni 2.00, 1 Ta 2.02
4 Ta 0.0000 0.0000 0.9980  6 O 1.98-2.02
5 Ni 0.0000 0.0000 0.6662  6 O 2.00-2.06
6 O 0.2937 0.2937 0.3379  1 Mn 1.93, 1 Ta 1.98, 1 Ni 2.06
7 Ta 0.5000 0.5000 0.4980  6 O 1.98-2.02
8 O 0.8101 0.1899 0.1698  1 Mn 1.92, 1 Ta 1.99, 1 Ni 2.04
9 O 0.7937 0.2063 0.8379  1 Mn 1.93, 1 Ta 1.98, 1 Ni 2.06
10 O 0.1933 0.8067 0.4939  1 Mn 1.93, 1 Ni 2.00, 1 Ta 2.02
11 O 0.3101 0.3101 0.6698  1 Mn 1.92, 1 Ta 1.99, 1 Ni 2.04
12 O 0.6899 0.6899 0.6698  1 Mn 1.92, 1 Ta 1.99, 1 Ni 2.04
13 Ni 0.5000 0.5000 0.1662  6 O 2.00-2.06
14 Mn 0.5000 0.5000 0.8324  6 O 1.92-1.93
15 O 0.7063 0.7063 0.3379  1 Mn 1.93, 1 Ta 1.98, 1 Ni 2.06
16 O 0.1899 0.8101 0.1698  1 Mn 1.92, 1 Ta 1.99, 1 Ni 2.04
17 Mn 0.0000 0.0000 0.3324  6 O 1.92-1.93
18 O 0.3067 0.3067 0.9939  1 Mn 1.93, 1 Ni 2.00, 1 Ta 2.02

Output
calculated density = 6.67 g cm⁻³
space group = P4_2nm (102)
E = -66.96 eV/f.u.



Q: Number 1 is which compound?
A: TaMn2NiO6



Q: Among the records above, which one has the lowest E?
A: TaMn2NiO6



Q: What is the E in the first record?
A: -77.28 eV/f.u.